# Ba3Zn2Pd4Pb2, optimized geometry, DFT PBE-GGA
# DFT formation energy ... -0.435 eV/atom
data_Ba3Zn2Pd4Pb2
_symmetry_space_group_name_H-M 'P -3 m 1'
_symmetry_Int_Tables_number 164
_symmetry_space_group_name_Hall '-P 3 2"'
_cell_length_a 4.6652
_cell_length_b 4.6652
_cell_length_c 16.4546
_cell_angle_alpha 90.00
_cell_angle_beta 90.00
_cell_angle_gamma 120.00
loop_
_atom_site_label
_atom_site_type_symbol
_atom_site_fract_x
_atom_site_fract_y
_atom_site_fract_z
Ba1 Ba 0.0000 0.0000 0.0000
Ba2 Ba 0.0000 0.0000 0.2686
Zn1 Zn 0.3333 0.6667 0.1344
Pd1 Pd 0.3333 0.6667 0.3937
Pd2 Pd 0.3333 0.6667 0.8668
Pb1 Pb 0.3333 0.6667 0.5668

***

# La4FeAs, optimized geometry, DFT PBE-GGA
# DFT formation energy ... 0.512 eV/atom
data_La4FeAs
_symmetry_space_group_name_H-M 'F -4 3 m'
_symmetry_Int_Tables_number 216
_symmetry_space_group_name_Hall 'F -4 2 3'
_cell_length_a 8.9135
_cell_length_b 8.9135
_cell_length_c 8.9135
_cell_angle_alpha 90.00
_cell_angle_beta 90.00
_cell_angle_gamma 90.00
loop_
_atom_site_label
_atom_site_type_symbol
_atom_site_fract_x
_atom_site_fract_y
_atom_site_fract_z
La1 La 0.1245 0.1245 0.1245
Fe1 Fe 0.0000 0.0000 0.5000
As1 As 0.2500 0.2500 0.7500

***

# LaPm2Nd3Se6, optimized geometry, DFT PBE-GGA
# E_form (uncorrected) ... -180.2 kJ/mol of atoms
data_LaPm2Nd3Se6
_symmetry_space_group_name_H-M 'C 1 2/m 1'
_symmetry_Int_Tables_number 12
_cell_length_a 7.3144
_cell_length_b 12.7265
_cell_length_c 7.3338
_cell_angle_alpha 90.00
_cell_angle_beta 109.52
_cell_angle_gamma 90.00
loop_
_symmetry_equiv_pos_as_xyz
'x,y,z'
'-x,-y,-z'
'-x,y,-z'
'x,-y,z'
'x+1/2,y+1/2,z'
'-x+1/2,-y+1/2,-z'
'-x+1/2,y+1/2,-z'
'x+1/2,-y+1/2,z'
loop_
_atom_site_label
_atom_site_type_symbol
_atom_site_fract_x
_atom_site_fract_y
_atom_site_fract_z
La1 La 0.0000 0.0000 0.0000
Pm1 Pm 0.0000 0.3325 0.0000
Nd1 Nd 0.0000 0.1654 0.5000
Nd2 Nd 0.0000 0.5000 0.5000
Se1 Se 0.2450 0.5000 0.2479
Se2 Se 0.2477 0.3315 0.7497

***

# Tb5Tm6Sc, optimized geometry, DFT PBE-GGA
# DFT formation energy ... 0.030 eV/atom
data_Tb5Tm6Sc
_symmetry_space_group_name_H-M 'C 1 2/m 1'
_symmetry_Int_Tables_number 12
_cell_length_a 11.0425
_cell_length_b 14.8861
_cell_length_c 4.9453
_cell_angle_alpha 90.00
_cell_angle_beta 116.54
_cell_angle_gamma 90.00
loop_
_symmetry_equiv_pos_as_xyz
'x,y,z'
'-x,-y,-z'
'-x,y,-z'
'x,-y,z'
'x+1/2,y+1/2,z'
'-x+1/2,-y+1/2,-z'
'-x+1/2,y+1/2,-z'
'x+1/2,-y+1/2,z'
loop_
_atom_site_label
_atom_site_type_symbol
_atom_site_fract_x
_atom_site_fract_y
_atom_site_fract_z
Tb1 Tb 0.0000 0.0000 0.0000
Tb2 Tb 0.0000 0.1661 0.5000
Tb3 Tb 0.0000 0.3357 0.0000
Tm1 Tm 0.2462 0.5000 0.2462
Tm2 Tm 0.2480 0.3343 0.7480
Sc1 Sc 0.0000 0.5000 0.5000

***

# PmErIrPt, optimized geometry, DFT PBE-GGA
# DFT formation energy ... -0.946 eV/atom
data_PmErIrPt
_symmetry_space_group_name_H-M 'F -4 3 m'
_symmetry_Int_Tables_number 216
_symmetry_space_group_name_Hall 'F -4 2 3'
_cell_length_a 6.9862
_cell_length_b 6.9862
_cell_length_c 6.9862
_cell_angle_alpha 90.00
_cell_angle_beta 90.00
_cell_angle_gamma 90.00
loop_
_atom_site_label
_atom_site_type_symbol
_atom_site_fract_x
_atom_site_fract_y
_atom_site_fract_z
Pm1 Pm 0.0000 0.0000 0.0000
Er1 Er 0.0000 0.0000 0.5000
Ir1 Ir 0.2500 0.2500 0.2500
Pt1 Pt 0.2500 0.2500 0.7500

***

# MgS2N2, optimized geometry, DFT PBE-GGA
# E_form (uncorrected) ... 80.3 kJ/mol of atoms
data_MgS2N2
_symmetry_space_group_name_H-M 'P 4/m m m'
_symmetry_Int_Tables_number 123
_symmetry_space_group_name_Hall '-P 4 2'
_cell_length_a 3.4261
_cell_length_b 3.4261
_cell_length_c 7.0572
_cell_angle_alpha 90.00
_cell_angle_beta 90.00
_cell_angle_gamma 90.00
loop_
_atom_site_label
_atom_site_type_symbol
_atom_site_fract_x
_atom_site_fract_y
_atom_site_fract_z
Mg1 Mg 0.0000 0.0000 0.0000
S1 S 0.5000 0.5000 0.0000
S2 S 0.5000 0.5000 0.5000
N1 N 0.0000 0.5000 0.5000

***

# Y2ScTiRu, optimized geometry, DFT PBE-GGA
# DFT formation energy ... 0.484 eV/atom
data_Y2ScTiRu
_symmetry_space_group_name_H-M 'P 4/m m m'
_symmetry_Int_Tables_number 123
_symmetry_space_group_name_Hall '-P 4 2'
_cell_length_a 5.4062
_cell_length_b 5.4062
_cell_length_c 4.4531
_cell_angle_alpha 90.00
_cell_angle_beta 90.00
_cell_angle_gamma 90.00
loop_
_atom_site_label
_atom_site_type_symbol
_atom_site_fract_x
_atom_site_fract_y
_atom_site_fract_z
Y1 Y 0.0000 0.5000 0.0000
Sc1 Sc 0.0000 0.0000 0.5000
Ti1 Ti 0.5000 0.5000 0.0000
Ru1 Ru 0.5000 0.5000 0.5000

***

# Pm4Mg2Cd5, optimized geometry, DFT PBE-GGA
# DFT formation energy ... -0.179 eV/atom
data_Pm4Mg2Cd5
_symmetry_space_group_name_H-M 'P 1 2/m 1'
_symmetry_Int_Tables_number 10
_cell_length_a 8.0527
_cell_length_b 3.4974
_cell_length_c 10.6113
_cell_angle_alpha 90.00
_cell_angle_beta 95.00
_cell_angle_gamma 90.00
loop_
_symmetry_equiv_pos_as_xyz
'x,y,z'
'-x,-y,-z'
'-x,y,-z'
'x,-y,z'
loop_
_atom_site_label
_atom_site_type_symbol
_atom_site_fract_x
_atom_site_fract_y
_atom_site_fract_z
Pm1 Pm 0.1705 0.0000 0.3962
Pm2 Pm 0.2876 0.0000 0.9382
Mg1 Mg 0.0617 0.5000 0.1367
Cd1 Cd 0.1926 0.5000 0.6688
Cd2 Cd 0.4296 0.5000 0.2113
Cd3 Cd 0.5000 0.5000 0.5000

***

# Pr6AgRh3, optimized geometry, DFT PBE-GGA
# DFT formation energy ... -0.384 eV/atom
data_Pr6AgRh3
_symmetry_space_group_name_H-M 'C m c 21'
_symmetry_Int_Tables_number 36
_cell_length_a 11.0660
_cell_length_b 14.4852
_cell_length_c 7.4129
_cell_angle_alpha 90.00
_cell_angle_beta 90.00
_cell_angle_gamma 90.00
loop_
_symmetry_equiv_pos_as_xyz
'x,y,z'
'-x,-y,z+1/2'
'-x,y,z'
'x,-y,z+1/2'
'x+1/2,y+1/2,z'
'-x+1/2,-y+1/2,z+1/2'
'-x+1/2,y+1/2,z'
'x+1/2,-y+1/2,z+1/2'
loop_
_atom_site_label
_atom_site_type_symbol
_atom_site_fract_x
_atom_site_fract_y
_atom_site_fract_z
Pr1 Pr 0.0000 0.0146 0.0000
Pr2 Pr 0.0000 0.2279 0.3297
Pr3 Pr 0.1710 0.4676 0.3753
Pr4 Pr 0.1797 0.2819 0.9440
Ag1 Ag 0.0000 0.1681 0.7187
Rh1 Rh 0.0000 0.4013 0.1036
Rh2 Rh 0.1873 0.1132 0.1836

***

# Cd6Pt5Rh, optimized geometry, DFT PBE-GGA
# DFT formation energy ... -0.283 eV/atom
data_Cd6Pt5Rh
_symmetry_space_group_name_H-M 'P 1 2/m 1'
_symmetry_Int_Tables_number 10
_cell_length_a 4.8965
_cell_length_b 6.0167
_cell_length_c 7.1347
_cell_angle_alpha 90.00
_cell_angle_beta 95.42
_cell_angle_gamma 90.00
loop_
_symmetry_equiv_pos_as_xyz
'x,y,z'
'-x,-y,-z'
'-x,y,-z'
'x,-y,z'
loop_
_atom_site_label
_atom_site_type_symbol
_atom_site_fract_x
_atom_site_fract_y
_atom_site_fract_z
Cd1 Cd 0.0000 0.2479 0.0000
Cd2 Cd 0.3370 0.2482 0.6696
Pt1 Pt 0.1641 0.0000 0.3338
Pt2 Pt 0.1651 0.5000 0.3357
Pt3 Pt 0.5000 0.5000 0.0000
Rh1 Rh 0.5000 0.0000 0.0000

***

# SrCa2RhO5, optimized geometry, DFT PBE-GGA
# E_form (uncorrected) ... -210.2 kJ/mol of atoms
data_SrCa2RhO5
_symmetry_space_group_name_H-M 'I m m m'
_symmetry_Int_Tables_number 71
_symmetry_space_group_name_Hall '-I 2 2'
_cell_length_a 3.7848
_cell_length_b 5.7581
_cell_length_c 11.3694
_cell_angle_alpha 90.00
_cell_angle_beta 90.00
_cell_angle_gamma 90.00
loop_
_atom_site_label
_atom_site_type_symbol
_atom_site_fract_x
_atom_site_fract_y
_atom_site_fract_z
Sr1 Sr 0.0000 0.0000 0.0000
Ca1 Ca 0.0000 0.5000 0.2128
Rh1 Rh 0.0000 0.0000 0.5000
O1 O 0.0000 0.2439 0.3673
O2 O 0.0000 0.5000 0.0000

***

# ZnCdBr2, optimized geometry, DFT PBE-GGA
# E_form (uncorrected) ... -46.9 kJ/mol of atoms
data_ZnCdBr2
_symmetry_space_group_name_H-M 'P 1 m 1'
_symmetry_Int_Tables_number 6
_cell_length_a 5.5599
_cell_length_b 3.6292
_cell_length_c 5.9632
_cell_angle_alpha 90.00
_cell_angle_beta 113.43
_cell_angle_gamma 90.00
loop_
_symmetry_equiv_pos_as_xyz
'x,y,z'
'x,-y,z'
loop_
_atom_site_label
_atom_site_type_symbol
_atom_site_fract_x
_atom_site_fract_y
_atom_site_fract_z
Zn1 Zn 0.0000 0.0000 0.0000
Cd1 Cd 0.6732 0.5000 0.1012
Br1 Br 0.1193 0.5000 0.7410
Br2 Br 0.4494 0.0000 0.3524